VASP calculation (GGA+U) on an optimized crystal structure of DyCr4Co3O12.

Magnetic moment = 0.90 μB per atom
Space-group type = Im-3
V = 204 Å³/cell
E_tot = -7.211 eV/atom

Lattice parameters (Å, degrees): 6.419 6.419 6.419 109.47 109.47 109.47
Fractional coordinates of all 20 atoms:
Cr: 0.000 0.000 0.500
O: 0.524 0.693 0.831
O: 0.169 0.863 0.693
O: 0.307 0.169 0.476
O: 0.693 0.831 0.524
O: 0.307 0.831 0.137
Cr: 0.500 0.500 0.500
O: 0.476 0.307 0.169
O: 0.863 0.693 0.169
Co: 0.000 0.500 0.500
O: 0.831 0.137 0.307
Dy: 0.000 0.000 0.000
Co: 0.500 0.000 0.500
O: 0.137 0.307 0.831
O: 0.831 0.524 0.693
Co: 0.500 0.500 0.000
O: 0.693 0.169 0.863
O: 0.169 0.476 0.307
Cr: 0.000 0.500 0.000
Cr: 0.500 0.000 0.000